{"formula": "PuThZn2", "functional": "PBE-GGA", "state": "optimized geometry", "cell": [[-2.626, -1.405, 4.169], [1.804, -3.714, 3.033], [1.791, 1.144, 4.662]], "species": ["Th", "Pu", "Zn", "Zn"], "fractional_positions": [[0.000, 0.000, 0.000], [0.500, 0.500, 0.500], [0.750, 0.750, 0.750], [0.250, 0.250, 0.250]], "de_polymorph_ev_per_atom": 0.0059}

---

{"formula": "PuThZn2", "functional": "PBE-GGA", "state": "optimized geometry", "cell": [[3.708, 0.000, 0.000], [0.000, 5.066, 0.000], [0.000, 0.000, 5.066]], "species": ["Pu", "Zn", "Th", "Zn"], "fractional_positions": [[0.500, 0.500, 0.500], [0.000, 0.500, 0.000], [0.500, 0.000, 0.000], [0.000, 0.000, 0.500]], "de_polymorph_ev_per_atom": 0.0000}

---

{"formula": "PuThZn17", "functional": "PBE-GGA", "state": "optimized geometry", "cell": [[-0.851, 6.760, 0.540], [-4.933, 0.633, -4.688], [-5.310, -0.132, 4.302]], "species": ["Zn", "Zn", "Zn", "Zn", "Zn", "Zn", "Th", "Zn", "Pu", "Zn", "Zn", "Zn", "Zn", "Zn", "Zn", "Zn", "Zn", "Zn", "Zn"], "fractional_positions": [[0.163, 0.646, 0.646], [0.842, 0.350, 0.350], [0.500, 0.000, 0.000], [0.646, 0.646, 0.163], [0.902, 0.902, 0.902], [0.000, 0.000, 0.500], [0.663, 0.663, 0.663], [0.294, 0.002, 0.705], [0.336, 0.336, 0.336], [0.000, 0.500, 0.000], [0.350, 0.350, 0.842], [0.646, 0.163, 0.646], [0.705, 0.002, 0.294], [0.002, 0.294, 0.705], [0.101, 0.101, 0.101], [0.002, 0.705, 0.294], [0.350, 0.842, 0.350], [0.294, 0.705, 0.002], [0.705, 0.294, 0.002]]}

---

{"formula": "PuThZn4", "functional": "PBE-GGA", "state": "optimized geometry", "cell": [[4.691, 0.000, 0.000], [-2.346, 4.063, 0.000], [0.000, 0.000, 6.391]], "species": ["Pu", "Zn", "Th", "Zn", "Zn", "Zn"], "fractional_positions": [[0.000, 0.000, 0.000], [0.333, 0.667, 0.767], [0.000, 0.000, 0.500], [0.333, 0.667, 0.233], [0.667, 0.333, 0.233], [0.667, 0.333, 0.767]], "de_polymorph_ev_per_atom": 0.0000}

---

The calculation returns the following formation energy from the elements values, one per record and in order: -34 -36 -332 -118 kJ/mol of formula units.
The calculation returns the following electronic total energy values, one per record and in order: -6.163 -6.169 -2.466 -4.679 eV per atom.
The calculation returns the following D(E_F) values, one per record and in order: 8.690 8.459 13.255 10.178 states/eV/f.u..